SrCrN2O GGA+U optimized geometry; calculated volume = 106.5 Å³/f.u.; calculated density = 2.86 g cm⁻³; space group = P4/mmm (123); electronic total energy = -24.4 eV/f.u.; crystal system = tetragonal; D(E_F) = 4.09 states/eV per cell
1.0
-0.606 1.727 -4.499
-4.656 -1.380 0.097
-1.156 4.018 1.698
Sr N O Cr
1 2 1 1
Direct
0.000 0.000 0.000 Sr
0.000 0.500 0.000 N
0.500 0.000 0.000 N
0.000 0.000 0.500 O
0.500 0.500 0.500 Cr